## VCdOs2Rh (PBE)

Data for a relaxed structure of VCdOs2Rh.

Cell: 4.758 4.661 4.758 Å, 90.00 90.00 90.00°
Element x y z (fractional)
Rh (0.000, 0.500, 0.000)
V (0.500, 0.500, 0.500)
Os (0.000, 0.000, 0.500)
Os (0.500, 0.000, 0.000)
Cd (0.000, 0.000, 0.000)

SG	P4/mmm (123)
energy relative to the elements	13.8	eV/f.u.
energy	-5.2133	eV/atom
N(E_F)	1.450	states/eV per atom

---

## Cd4OsRu (PBE)

Data for a relaxed structure of Cd4OsRu.

Cell: 5.413 5.413 5.413 Å, 60.00 60.00 60.00°
Element x y z (fractional)
Cd (0.375, 0.875, 0.375)
Cd (0.875, 0.375, 0.375)
Cd (0.375, 0.375, 0.875)
Cd (0.375, 0.375, 0.375)
Os (0.750, 0.750, 0.750)
Ru (0.000, 0.000, 0.000)

SG	F-43m (216)
energy relative to the elements	5.2	eV/f.u.
energy	-3.1570	eV/atom
N(E_F)	0.754	states/eV per atom

---

## CdOsRu2 (PBE)

Data for a relaxed structure of CdOsRu2.

Cell: 4.452 4.452 4.452 Å, 60.00 60.00 60.00°
Element x y z (fractional)
Cd (0.500, 0.500, 0.500)
Os (0.750, 0.750, 0.750)
Ru (0.000, 0.000, 0.000)
Ru (0.250, 0.250, 0.250)

SG	F-43m (216)
energy relative to the elements	2.8	eV/f.u.
energy	-6.9644	eV/atom
N(E_F)	0.477	states/eV per atom

---

## Cd3OsRu (PBE)

Data for a relaxed structure of Cd3OsRu.

Cell: 5.112 5.112 5.112 Å, 90.00 90.00 90.00°
Element x y z (fractional)
Ru (0.500, 0.500, 0.500)
Os (0.000, 0.000, 0.000)
Cd (0.000, 0.500, 0.000)
Cd (0.000, 0.000, 0.500)
Cd (0.500, 0.000, 0.000)

energy above the lowest structure with this stoichiometry	0	meV/atom
SG	Pm-3m (221)
energy relative to the elements	8.0	eV/f.u.
energy	-3.0599	eV/atom
N(E_F)	4.887	states/eV per atom

---

## CdOsRu (PBE)

Data for a relaxed structure of CdOsRu.

Cell: 4.275 4.275 4.275 Å, 60.00 60.00 60.00°
Element x y z (fractional)
Cd (0.000, 0.000, 0.000)
Os (0.500, 0.500, 0.500)
Ru (0.750, 0.750, 0.750)

energy above the lowest structure with this stoichiometry	559	meV/atom
SG	F-43m (216)
energy relative to the elements	2.4	eV/f.u.
energy	-6.3369	eV/atom
N(E_F)	0.863	states/eV per atom

---

## CdOsRu2 (PBE)

Data for a relaxed structure of CdOsRu2.

Cell: 2.739 2.739 9.521 Å, 90.00 90.00 118.28°
Element x y z (fractional)
Cd (0.000, 0.000, 0.497)
Os (0.500, 0.500, 0.766)
Ru (0.000, 0.000, 0.001)
Ru (0.500, 0.500, 0.235)

SG	Cmm2 (35)
energy relative to the elements	2.3	eV/f.u.
energy	-7.0909	eV/atom
N(E_F)	1.271	states/eV per atom

---

## CdOsRu2 (PBE)

Data for a relaxed structure of CdOsRu2.

Cell: 5.622 5.622 5.622 Å, 151.22 131.57 57.31°
Element x y z (fractional)
Cd (0.495, 0.495, 0.000)
Os (0.222, 0.722, 0.500)
Ru (0.006, 0.006, 0.000)
Ru (0.777, 0.277, 0.500)

SG	Imm2 (44)
energy relative to the elements	2.0	eV/f.u.
energy	-7.1651	eV/atom
N(E_F)	1.140	states/eV per atom

---

## CdOsRu2 (PBE)

Data for a relaxed structure of CdOsRu2.

Cell: 4.938 4.938 4.938 Å, 134.09 134.09 66.95°
Element x y z (fractional)
Cd (0.500, 0.500, 0.000)
Os (0.750, 0.250, 0.500)
Ru (0.000, 0.000, 0.000)
Ru (0.250, 0.750, 0.500)

SG	I-4m2 (119)
energy relative to the elements	2.2	eV/f.u.
energy	-7.1329	eV/atom
N(E_F)	1.288	states/eV per atom

---

## CdOsRu2 (PBE)

Data for a relaxed structure of CdOsRu2.

Cell: 4.652 4.652 2.859 Å, 90.00 90.00 90.00°
Element x y z (fractional)
Cd (0.500, 0.000, 0.500)
Os (0.000, 0.500, 0.500)
Ru (0.000, 0.000, 0.000)
Ru (0.500, 0.500, 0.000)

SG	P4/mmm (123)
energy relative to the elements	2.4	eV/f.u.
energy	-7.0654	eV/atom
N(E_F)	1.373	states/eV per atom

---

## CdOsRu (PBE)

Data for a relaxed structure of CdOsRu.

Cell: 5.381 5.381 5.381 Å, 149.76 140.49 50.55°
Element x y z (fractional)
Cd (0.000, 0.000, 0.000)
Os (0.309, 0.309, 0.000)
Ru (0.691, 0.691, 0.000)

energy above the lowest structure with this stoichiometry	184	meV/atom
SG	Imm2 (44)
energy relative to the elements	1.3	eV/f.u.
energy	-6.7120	eV/atom
N(E_F)	0.945	states/eV per atom

---

## CdOsRu2 (PBE)

Data for a relaxed structure of CdOsRu2.

Cell: 2.767 2.767 8.066 Å, 90.00 90.00 90.00°
Element x y z (fractional)
Cd (0.000, 0.000, 0.498)
Os (0.500, 0.500, 0.775)
Ru (0.000, 0.000, 0.999)
Ru (0.500, 0.500, 0.227)

SG	P4mm (99)
energy relative to the elements	1.4	eV/f.u.
energy	-7.3315	eV/atom
N(E_F)	1.088	states/eV per atom

---

## CdOsRu2 (PBE)

Data for a relaxed structure of CdOsRu2.

Cell: 9.348 9.348 9.348 Å, 17.10 17.10 17.10°
Element x y z (fractional)
Cd (0.250, 0.250, 0.250)
Os (0.750, 0.750, 0.750)
Ru (0.007, 0.007, 0.007)
Ru (0.493, 0.493, 0.493)

SG	R-3m (166)
energy relative to the elements	1.0	eV/f.u.
energy	-7.4305	eV/atom
N(E_F)	0.958	states/eV per atom

---

## CdOsRu2 (PBE)

Data for a relaxed structure of CdOsRu2.

Cell: 4.757 4.757 4.998 Å, 81.27 81.27 33.80°
Element x y z (fractional)
Cd (0.750, 0.750, 0.750)
Os (0.250, 0.250, 0.250)
Ru (0.990, 0.990, 0.031)
Ru (0.510, 0.510, 0.469)

SG	C2/m (12)
energy relative to the elements	1.7	eV/f.u.
energy	-7.2373	eV/atom
N(E_F)	1.398	states/eV per atom

---

## CdOsRu2 (PBE)

Data for a relaxed structure of CdOsRu2.

Cell: 2.806 2.806 7.855 Å, 90.00 90.00 90.00°
Element x y z (fractional)
Cd (0.500, 0.500, 0.250)
Os (0.500, 0.500, 0.750)
Ru (0.000, 0.000, 0.975)
Ru (0.000, 0.000, 0.525)

SG	P4/mmm (123)
energy relative to the elements	0.9	eV/f.u.
energy	-7.4541	eV/atom
N(E_F)	1.031	states/eV per atom

---

## CdOsRu (PBE)

Data for a relaxed structure of CdOsRu.

Cell: 6.376 6.376 6.376 Å, 154.40 154.40 36.53°
Element x y z (fractional)
Cd (0.001, 0.001, 0.000)
Os (0.316, 0.316, 0.000)
Ru (0.683, 0.683, 0.000)

energy above the lowest structure with this stoichiometry	0	meV/atom
SG	I4mm (107)
energy relative to the elements	0.7	eV/f.u.
energy	-6.8963	eV/atom
N(E_F)	0.797	states/eV per atom

---

## CdOs4Ru (PBE)

Data for a relaxed structure of CdOs4Ru.

Cell: 5.171 5.171 5.171 Å, 60.00 60.00 60.00°
Element x y z (fractional)
Cd (0.000, 0.000, 0.000)
Os (0.625, 0.625, 0.126)
Os (0.625, 0.126, 0.625)
Os (0.625, 0.625, 0.625)
Os (0.126, 0.625, 0.625)
Ru (0.250, 0.250, 0.250)

SG	F-43m (216)
energy relative to the elements	4.9	eV/f.u.
energy	-8.3611	eV/atom
N(E_F)	1.566	states/eV per atom

---

## CdOsRu (PBE)

Data for a relaxed structure of CdOsRu.

Cell: 7.618 7.372 2.774 Å, 84.36 74.39 21.25°
Element x y z (fractional)
Cd (0.001, 0.001, 0.999)
Os (0.324, 0.324, 0.676)
Ru (0.675, 0.675, 0.325)

energy above the lowest structure with this stoichiometry	329	meV/atom
SG	Fmm2 (42)
energy relative to the elements	1.7	eV/f.u.
energy	-6.5669	eV/atom
N(E_F)	1.091	states/eV per atom

---

## CdOsRu2 (PBE)

Data for a relaxed structure of CdOsRu2.

Cell: 4.859 4.859 4.859 Å, 79.70 79.70 33.27°
Element x y z (fractional)
Cd (0.498, 0.498, 0.513)
Os (0.264, 0.264, 0.208)
Ru (0.002, 0.002, 0.019)
Ru (0.736, 0.736, 0.760)

SG	Cm (8)
energy relative to the elements	1.7	eV/f.u.
energy	-7.2587	eV/atom
N(E_F)	1.274	states/eV per atom

---

## CdOsRu2 (PBE)

Data for a relaxed structure of CdOsRu2.

Cell: 3.921 2.753 6.380 Å, 64.56 90.00 90.00°
Element x y z (fractional)
Cd (0.000, 0.505, 0.495)
Os (0.500, 0.713, 0.786)
Ru (0.000, 0.010, 0.990)
Ru (0.500, 0.272, 0.229)

SG	Pm (6)
energy relative to the elements	1.7	eV/f.u.
energy	-7.2486	eV/atom
N(E_F)	1.106	states/eV per atom

---

## CdOsRu2 (PBE)

Data for a relaxed structure of CdOsRu2.

Cell: 4.827 4.827 4.827 Å, 131.89 131.89 70.41°
Element x y z (fractional)
Cd (0.250, 0.750, 0.500)
Os (0.750, 0.250, 0.500)
Ru (0.000, 0.000, 0.000)
Ru (0.500, 0.500, 0.000)

SG	I4/mmm (139)
energy relative to the elements	2.2	eV/f.u.
energy	-7.1291	eV/atom
N(E_F)	1.548	states/eV per atom